Record 1
Entry from Alexandria via LeMat-Bulk: crystalline PrNd6Dy12 at its relaxed geometry (PBE).

The calculation puts the theoretical density at 7.8 g cm⁻³. Its symmetry is R-3m. As for the calculated formation energy: 0.115 eV/atom. The calculation puts the energy above the most stable polymorph in this dataset at 0 meV per atom. The final energy comes out at -86.431 eV/cell.

Lattice parameters (Å, degrees): 8.7058 8.7058 8.7058 79.65 79.65 79.65
Element x y z (fractional)
Pr: 0.0000 0.0000 0.0000
Nd: 0.1646 0.7692 0.7692
Nd: 0.2308 0.2308 0.8354
Nd: 0.2308 0.8354 0.2308
Nd: 0.7692 0.1646 0.7692
Nd: 0.7692 0.7692 0.1646
Nd: 0.8354 0.2308 0.2308
Dy: 0.1375 0.1375 0.4822
Dy: 0.1375 0.4822 0.1375
Dy: 0.1967 0.5154 0.5154
Dy: 0.4822 0.1375 0.1375
Dy: 0.4846 0.4846 0.8033
Dy: 0.4846 0.8033 0.4846
Dy: 0.5154 0.1967 0.5154
Dy: 0.5154 0.5154 0.1967
Dy: 0.5178 0.8625 0.8625
Dy: 0.8033 0.4846 0.4846
Dy: 0.8625 0.5178 0.8625
Dy: 0.8625 0.8625 0.5178

Record 2
Entry from Alexandria via LeMat-Bulk: crystalline Pr3Nd6Dy at its relaxed geometry (PBE).

The calculation puts the theoretical density at 6.6 g cm⁻³. Its symmetry is C2/m. As for the calculated formation energy: 0.250 eV/atom. The calculation puts the energy above the most stable polymorph in this dataset at 119 meV per atom. The final energy comes out at -45.043 eV/cell.

Lattice parameters (Å, degrees): 6.8243 6.8243 8.9688 100.37 100.37 62.54
Element x y z (fractional)
Pr: 0.0000 0.0000 0.0000
Pr: 0.4647 0.4647 0.6603
Pr: 0.5353 0.5353 0.3397
Nd: 0.0261 0.4837 0.3123
Nd: 0.3389 0.3389 0.0074
Nd: 0.4837 0.0261 0.3123
Nd: 0.5163 0.9739 0.6877
Nd: 0.6611 0.6611 0.9926
Nd: 0.9739 0.5163 0.6877
Dy: 0.0000 0.0000 0.5000

Record 3
Entry from Alexandria via LeMat-Bulk: crystalline Pr8Nd2Dy3 at its relaxed geometry (PBE).

The calculation puts the theoretical density at 6.9 g cm⁻³. Its symmetry is C2/m. As for the calculated formation energy: 0.156 eV/atom. The calculation puts the energy above the most stable polymorph in this dataset at 0 meV per atom. The final energy comes out at -59.544 eV/cell.

Lattice parameters (Å, degrees): 9.0294 9.0294 6.1998 107.58 107.58 82.71
Element x y z (fractional)
Pr: 0.0841 0.0841 0.2620
Pr: 0.0977 0.5766 0.8417
Pr: 0.3614 0.3614 0.3990
Pr: 0.4234 0.9023 0.1583
Pr: 0.5766 0.0977 0.8417
Pr: 0.6386 0.6386 0.6010
Pr: 0.9023 0.4234 0.1583
Pr: 0.9159 0.9159 0.7380
Nd: 0.1910 0.1910 0.8415
Nd: 0.8090 0.8090 0.1585
Dy: 0.2352 0.7648 0.5000
Dy: 0.5000 0.5000 0.0000
Dy: 0.7648 0.2352 0.5000

Record 4
Entry from Alexandria via LeMat-Bulk: crystalline PrNdDy4 at its relaxed geometry (PBE).

The calculation puts the theoretical density at 7.6 g cm⁻³. Its symmetry is C2/c. As for the calculated formation energy: 0.185 eV/atom. The calculation puts the energy above the most stable polymorph in this dataset at 166 meV per atom. The final energy comes out at -53.687 eV/cell.

Lattice parameters (Å, degrees): 10.4444 10.4444 5.8753 90.20 90.20 140.67
Element x y z (fractional)
Pr: 0.0525 0.9475 0.7500
Pr: 0.9475 0.0525 0.2500
Nd: 0.4477 0.5523 0.2500
Nd: 0.5523 0.4477 0.7500
Dy: 0.0411 0.4594 0.2500
Dy: 0.1370 0.3636 0.7500
Dy: 0.3636 0.1370 0.2500
Dy: 0.4594 0.0411 0.7500
Dy: 0.5406 0.9589 0.2500
Dy: 0.6364 0.8630 0.7500
Dy: 0.8630 0.6364 0.2500
Dy: 0.9589 0.5406 0.7500

Record 5
Entry from Alexandria via LeMat-Bulk: crystalline Pr2NdDy8 at its relaxed geometry (PBE).

The calculation puts the theoretical density at 7.8 g cm⁻³. Its symmetry is C2/m. As for the calculated formation energy: 0.155 eV/atom. The calculation puts the energy above the most stable polymorph in this dataset at 0 meV per atom. The final energy comes out at -49.434 eV/cell.

Lattice parameters (Å, degrees): 9.2603 9.2603 5.9473 105.41 105.41 121.26
Element x y z (fractional)
Pr: 0.1940 0.8060 0.0000
Pr: 0.8060 0.1940 0.0000
Nd: 0.5000 0.5000 0.5000
Dy: 0.0724 0.0724 0.2956
Dy: 0.1695 0.4011 0.8271
Dy: 0.2915 0.7085 0.5000
Dy: 0.4011 0.1695 0.8271
Dy: 0.5989 0.8305 0.1729
Dy: 0.7085 0.2915 0.5000
Dy: 0.8305 0.5989 0.1729
Dy: 0.9276 0.9276 0.7044

Record 6
Entry from Alexandria via LeMat-Bulk: crystalline Pr4NdDy6 at its relaxed geometry (PBE).

The calculation puts the theoretical density at 7.2 g cm⁻³. Its symmetry is I-42m. As for the calculated formation energy: 0.301 eV/atom. The calculation puts the energy above the most stable polymorph in this dataset at 0 meV per atom. The final energy comes out at -48.189 eV/cell.

Lattice parameters (Å, degrees): 9.7396 9.7396 9.7396 139.48 139.48 58.64
Element x y z (fractional)
Pr: 0.1326 0.1326 0.6177
Pr: 0.4851 0.8674 0.0000
Pr: 0.5149 0.5149 0.3823
Pr: 0.8674 0.4851 0.0000
Nd: 0.5000 0.5000 0.0000
Dy: 0.0000 0.5000 0.5000
Dy: 0.0547 0.7009 0.0000
Dy: 0.2991 0.2991 0.3538
Dy: 0.5000 0.0000 0.5000
Dy: 0.7009 0.0547 0.0000
Dy: 0.9453 0.9453 0.6462

Record 7
Entry from Alexandria via LeMat-Bulk: crystalline Pr6NdDy8 at its relaxed geometry (PBE).

The calculation puts the theoretical density at 7.4 g cm⁻³. Its symmetry is R-3. As for the calculated formation energy: 0.122 eV/atom. The final energy comes out at -68.436 eV/cell.

Lattice parameters (Å, degrees): 8.7874 8.7874 8.7874 62.92 62.92 62.92
Element x y z (fractional)
Pr: 0.0371 0.6017 0.7297
Pr: 0.2703 0.9629 0.3983
Pr: 0.3983 0.2703 0.9629
Pr: 0.6017 0.7297 0.0371
Pr: 0.7297 0.0371 0.6017
Pr: 0.9629 0.3983 0.2703
Nd: 0.5000 0.5000 0.5000
Dy: 0.0765 0.0765 0.0765
Dy: 0.2148 0.6125 0.2499
Dy: 0.2499 0.2148 0.6125
Dy: 0.3875 0.7501 0.7852
Dy: 0.6125 0.2499 0.2148
Dy: 0.7501 0.7852 0.3875
Dy: 0.7852 0.3875 0.7501
Dy: 0.9235 0.9235 0.9235

Record 8
Entry from Alexandria via LeMat-Bulk: crystalline Pr6Nd2Dy3 at its relaxed geometry (PBE).

The calculation puts the theoretical density at 6.4 g cm⁻³. Its symmetry is I4/mmm. As for the calculated formation energy: 0.471 eV/atom. The calculation puts the energy above the most stable polymorph in this dataset at 456 meV per atom. The final energy comes out at -46.841 eV/cell.

Lattice parameters (Å, degrees): 13.1664 13.1664 13.1664 154.66 154.66 36.14
Element x y z (fractional)
Pr: 0.0969 0.5969 0.5000
Pr: 0.2000 0.2000 0.0000
Pr: 0.4031 0.9031 0.5000
Pr: 0.5969 0.0969 0.5000
Pr: 0.8000 0.8000 0.0000
Pr: 0.9031 0.4031 0.5000
Nd: 0.0587 0.0587 0.0000
Nd: 0.9413 0.9413 0.0000
Dy: 0.3373 0.3373 0.0000
Dy: 0.5000 0.5000 0.0000
Dy: 0.6627 0.6627 0.0000

Record 9
Entry from Alexandria via LeMat-Bulk: crystalline Pr5Nd5Dy2 at its relaxed geometry (PBE).

The calculation puts the theoretical density at 6.9 g cm⁻³. Its symmetry is C2/m. As for the calculated formation energy: 0.015 eV/atom. The final energy comes out at -56.763 eV/cell.

Lattice parameters (Å, degrees): 8.2209 8.2209 11.6142 115.11 115.11 36.83
Element x y z (fractional)
Pr: 0.0000 0.0000 0.0000
Pr: 0.1651 0.1651 0.4993
Pr: 0.2515 0.2515 0.2505
Pr: 0.7485 0.7485 0.7495
Pr: 0.8349 0.8349 0.5007
Nd: 0.3329 0.3329 0.9999
Nd: 0.4183 0.4183 0.7507
Nd: 0.5000 0.5000 0.5000
Nd: 0.5817 0.5817 0.2493
Nd: 0.6671 0.6671 0.0001
Dy: 0.0836 0.0836 0.7512
Dy: 0.9164 0.9164 0.2488

Record 10
Entry from Alexandria via LeMat-Bulk: crystalline Pr5Nd3Dy4 at its relaxed geometry (PBE).

The calculation puts the theoretical density at 7.1 g cm⁻³. Its symmetry is C2/m. As for the calculated formation energy: 0.211 eV/atom. The calculation puts the energy above the most stable polymorph in this dataset at 197 meV per atom. The final energy comes out at -54.072 eV/cell.

Lattice parameters (Å, degrees): 8.7462 8.7462 9.4136 114.39 114.39 40.55
Element x y z (fractional)
Pr: 0.0000 0.0000 0.0000
Pr: 0.3264 0.3264 0.6152
Pr: 0.4236 0.4236 0.3003
Pr: 0.5764 0.5764 0.6997
Pr: 0.6736 0.6736 0.3848
Nd: 0.2083 0.2083 0.2274
Nd: 0.5000 0.5000 0.0000
Nd: 0.7917 0.7917 0.7726
Dy: 0.0817 0.0817 0.4417
Dy: 0.2128 0.2128 0.8771
Dy: 0.7872 0.7872 0.1229
Dy: 0.9183 0.9183 0.5583

> Which formula does entry 4 have?

PrNdDy4

> Which of these has the highest final energy?

Pr3Nd6Dy

Copy entry 1 word for word.
Entry from Alexandria via LeMat-Bulk: crystalline PrNd6Dy12 at its relaxed geometry (PBE).

The calculation puts the theoretical density at 7.8 g cm⁻³. Its symmetry is R-3m. As for the calculated formation energy: 0.115 eV/atom. The calculation puts the energy above the most stable polymorph in this dataset at 0 meV per atom. The final energy comes out at -86.431 eV/cell.

Lattice parameters (Å, degrees): 8.7058 8.7058 8.7058 79.65 79.65 79.65
Element x y z (fractional)
Pr: 0.0000 0.0000 0.0000
Nd: 0.1646 0.7692 0.7692
Nd: 0.2308 0.2308 0.8354
Nd: 0.2308 0.8354 0.2308
Nd: 0.7692 0.1646 0.7692
Nd: 0.7692 0.7692 0.1646
Nd: 0.8354 0.2308 0.2308
Dy: 0.1375 0.1375 0.4822
Dy: 0.1375 0.4822 0.1375
Dy: 0.1967 0.5154 0.5154
Dy: 0.4822 0.1375 0.1375
Dy: 0.4846 0.4846 0.8033
Dy: 0.4846 0.8033 0.4846
Dy: 0.5154 0.1967 0.5154
Dy: 0.5154 0.5154 0.1967
Dy: 0.5178 0.8625 0.8625
Dy: 0.8033 0.4846 0.4846
Dy: 0.8625 0.5178 0.8625
Dy: 0.8625 0.8625 0.5178

> calculated formation energy of number 4 (PrNdDy4)?

0.185 eV/atom